DFT (PBE-GGA) results for a geometry-optimized LiNbFeTe structure.

## Properties
ΔE to the lowest computed polymorph ... 6.8 meV/atom
Density ... 6717 kg/m3

Geometry as CIF:
```
data_LiNbFeTe
_cell_length_a 4.103
_cell_length_b 4.103
_cell_length_c 14.414
_cell_angle_alpha 90.00
_cell_angle_beta 90.00
_cell_angle_gamma 120.00
_space_group_name_H-M_alt 'P 1'
_space_group_IT_number 1
_space_group_name_Hall 'P 1'
loop_
_atom_site_label
_atom_site_type_symbol
_atom_site_fract_x
_atom_site_fract_y
_atom_site_fract_z
Li1 Li 0.000 0.000 0.759
Li2 Li 0.333 0.667 0.426
Li3 Li 0.667 0.333 0.092
Nb1 Nb 0.000 0.000 0.323
Nb2 Nb 0.333 0.667 0.989
Nb3 Nb 0.667 0.333 0.656
Fe1 Fe 0.000 0.000 0.945
Fe2 Fe 0.333 0.667 0.612
Fe3 Fe 0.667 0.333 0.279
Te1 Te 0.000 0.000 0.530
Te2 Te 0.333 0.667 0.197
Te3 Te 0.667 0.333 0.864
```

DFT (PBE-GGA) results for a geometry-optimized LiCo2HOs structure.

## Properties
Density ... 7554 kg/m3

Geometry as CIF:
```
data_LiCo2HOs
_cell_length_a 4.587
_cell_length_b 3.302
_cell_length_c 4.587
_cell_angle_alpha 90.00
_cell_angle_beta 90.00
_cell_angle_gamma 90.00
_space_group_name_H-M_alt 'P 1'
_space_group_IT_number 1
_space_group_name_Hall 'P 1'
loop_
_atom_site_label
_atom_site_type_symbol
_atom_site_fract_x
_atom_site_fract_y
_atom_site_fract_z
Co1 Co 0.000 0.000 0.500
Co2 Co 0.500 0.000 0.000
Os1 Os 0.000 0.000 0.000
H1 H 0.000 0.500 0.000
Li1 Li 0.500 0.500 0.500
```

DFT (PBE-GGA) results for a geometry-optimized Mg2TlMo structure.

## Properties
E_form ... 411 meV per atom
ΔE to the lowest computed polymorph ... 128.8 meV/atom
Density ... 7159 kg/m3

Geometry as CIF:
```
data_Mg2TlMo
_cell_length_a 3.597
_cell_length_b 3.597
_cell_length_c 6.256
_cell_angle_alpha 90.00
_cell_angle_beta 90.00
_cell_angle_gamma 90.00
_space_group_name_H-M_alt 'P 1'
_space_group_IT_number 1
_space_group_name_Hall 'P 1'
loop_
_atom_site_label
_atom_site_type_symbol
_atom_site_fract_x
_atom_site_fract_y
_atom_site_fract_z
Mg1 Mg 0.000 0.000 0.025
Mg2 Mg 0.000 0.000 0.475
Mo1 Mo 0.500 0.500 0.250
Tl1 Tl 0.500 0.500 0.750
```

DFT (PBE-GGA) results for a geometry-optimized MgIr2Rh2 structure.

## Properties
E_form ... 16 meV per atom
ΔE to the lowest computed polymorph ... 0.0 meV/atom
Density ... 12788 kg/m3

Geometry as CIF:
```
data_MgIr2Rh2
_cell_length_a 7.562
_cell_length_b 7.562
_cell_length_c 2.791
_cell_angle_alpha 90.00
_cell_angle_beta 90.00
_cell_angle_gamma 90.00
_space_group_name_H-M_alt 'P 1'
_space_group_IT_number 1
_space_group_name_Hall 'P 1'
loop_
_atom_site_label
_atom_site_type_symbol
_atom_site_fract_x
_atom_site_fract_y
_atom_site_fract_z
Mg1 Mg 0.000 0.000 0.000
Mg2 Mg 0.500 0.500 0.000
Ir1 Ir 0.379 0.879 0.000
Ir2 Ir 0.879 0.621 0.000
Ir3 Ir 0.621 0.121 0.000
Ir4 Ir 0.121 0.379 0.000
Rh1 Rh 0.178 0.678 0.500
Rh2 Rh 0.678 0.822 0.500
Rh3 Rh 0.822 0.322 0.500
Rh4 Rh 0.322 0.178 0.500
```

DFT (PBE-GGA) results for a geometry-optimized TbSm2Tc9 structure.

## Properties
E_form ... 22 meV per atom
Density ... 10108 kg/m3

Geometry as CIF:
```
data_TbSm2Tc9
_cell_length_a 5.379
_cell_length_b 5.379
_cell_length_c 9.327
_cell_angle_alpha 73.24
_cell_angle_beta 73.24
_cell_angle_gamma 60.00
_space_group_name_H-M_alt 'P 1'
_space_group_IT_number 1
_space_group_name_Hall 'P 1'
loop_
_atom_site_label
_atom_site_type_symbol
_atom_site_fract_x
_atom_site_fract_y
_atom_site_fract_z
Tb1 Tb 0.000 0.000 0.000
Sm1 Sm 0.856 0.856 0.432
Sm2 Sm 0.144 0.144 0.568
Tc1 Tc 0.662 0.662 0.013
Tc2 Tc 0.338 0.338 0.987
Tc3 Tc 0.500 0.500 0.500
Tc4 Tc 0.414 0.414 0.247
Tc5 Tc 0.926 0.414 0.246
Tc6 Tc 0.414 0.926 0.246
Tc7 Tc 0.586 0.586 0.753
Tc8 Tc 0.586 0.074 0.754
Tc9 Tc 0.074 0.586 0.754
```

DFT (PBE-GGA) results for a geometry-optimized Np2PN structure.

## Properties
ΔE to the lowest computed polymorph ... 0.0 meV/atom
Density ... 12090 kg/m3

Geometry as CIF:
```
data_Np2PN
_cell_length_a 3.668
_cell_length_b 3.668
_cell_length_c 6.474
_cell_angle_alpha 73.54
_cell_angle_beta 73.54
_cell_angle_gamma 60.00
_space_group_name_H-M_alt 'P 1'
_space_group_IT_number 1
_space_group_name_Hall 'P 1'
loop_
_atom_site_label
_atom_site_type_symbol
_atom_site_fract_x
_atom_site_fract_y
_atom_site_fract_z
Np1 Np 0.763 0.763 0.712
Np2 Np 0.237 0.237 0.288
P1 P 0.000 0.000 0.000
N1 N 0.500 0.500 0.500
```

DFT (PBE-GGA) results for a geometry-optimized Tb15CeNd4 structure.

## Properties
E_form ... 27 meV per atom
Density ... 7909 kg/m3

Geometry as CIF:
```
data_Tb15CeNd4
_cell_length_a 5.077
_cell_length_b 5.077
_cell_length_c 25.261
_cell_angle_alpha 90.00
_cell_angle_beta 90.00
_cell_angle_gamma 90.00
_space_group_name_H-M_alt 'P 1'
_space_group_IT_number 1
_space_group_name_Hall 'P 1'
loop_
_atom_site_label
_atom_site_type_symbol
_atom_site_fract_x
_atom_site_fract_y
_atom_site_fract_z
Tb1 Tb 0.500 0.500 0.000
Tb2 Tb 0.500 0.500 0.199
Tb3 Tb 0.500 0.500 0.400
Tb4 Tb 0.500 0.500 0.600
Tb5 Tb 0.500 0.500 0.801
Tb6 Tb 0.500 0.000 0.098
Tb7 Tb 0.500 0.000 0.299
Tb8 Tb 0.500 0.000 0.500
Tb9 Tb 0.500 0.000 0.701
Tb10 Tb 0.500 0.000 0.902
Tb11 Tb 0.000 0.500 0.098
Tb12 Tb 0.000 0.500 0.299
Tb13 Tb 0.000 0.500 0.500
Tb14 Tb 0.000 0.500 0.701
Tb15 Tb 0.000 0.500 0.902
Ce1 Ce 0.000 0.000 0.000
Nd1 Nd 0.000 0.000 0.198
Nd2 Nd 0.000 0.000 0.400
Nd3 Nd 0.000 0.000 0.600
Nd4 Nd 0.000 0.000 0.802
```

DFT (PBE-GGA) results for a geometry-optimized HoTl2GaS4 structure.

## Properties
Density ... 6647 kg/m3

Geometry as CIF:
```
data_HoTl2GaS4
_cell_length_a 8.181
_cell_length_b 8.181
_cell_length_c 8.255
_cell_angle_alpha 120.29
_cell_angle_beta 120.29
_cell_angle_gamma 90.48
_space_group_name_H-M_alt 'P 1'
_space_group_IT_number 1
_space_group_name_Hall 'P 1'
loop_
_atom_site_label
_atom_site_type_symbol
_atom_site_fract_x
_atom_site_fract_y
_atom_site_fract_z
Ho1 Ho 0.000 0.500 0.000
Ho2 Ho 0.000 0.500 0.500
Tl1 Tl 0.500 0.000 0.000
Tl2 Tl 0.500 0.000 0.500
Tl3 Tl 0.000 0.000 0.500
Tl4 Tl 0.500 0.500 0.000
Ga1 Ga 0.500 0.500 0.500
Ga2 Ga 0.000 0.000 0.000
S1 S 0.198 0.746 0.972
S2 S 0.754 0.302 0.528
S3 S 0.246 0.698 0.472
S4 S 0.802 0.254 0.028
S5 S 0.762 0.738 0.954
S6 S 0.762 0.738 0.546
S7 S 0.238 0.262 0.454
S8 S 0.238 0.262 0.046
```

DFT (PBE-GGA) results for a geometry-optimized Ho2Sc3Co2 structure.

## Properties
E_form ... -67 meV per atom
ΔE to the lowest computed polymorph ... 143.8 meV/atom
Density ... 6180 kg/m3

Geometry as CIF:
```
data_Ho2Sc3Co2
_cell_length_a 3.538
_cell_length_b 9.001
_cell_length_c 5.962
_cell_angle_alpha 61.19
_cell_angle_beta 72.74
_cell_angle_gamma 89.94
_space_group_name_H-M_alt 'P 1'
_space_group_IT_number 1
_space_group_name_Hall 'P 1'
loop_
_atom_site_label
_atom_site_type_symbol
_atom_site_fract_x
_atom_site_fract_y
_atom_site_fract_z
Ho1 Ho 0.405 0.607 0.189
Ho2 Ho 0.595 0.393 0.811
Sc1 Sc 0.000 0.000 0.000
Sc2 Sc 0.800 0.222 0.400
Sc3 Sc 0.200 0.778 0.600
Co1 Co 0.627 0.912 0.745
Co2 Co 0.373 0.088 0.255
```

DFT (PBE-GGA) results for a geometry-optimized Pm2SbTe structure.

## Properties
ΔE to the lowest computed polymorph ... 1.0 meV/atom
Density ... 7020 kg/m3

Geometry as CIF:
```
data_Pm2SbTe
_cell_length_a 4.478
_cell_length_b 4.478
_cell_length_c 7.789
_cell_angle_alpha 73.30
_cell_angle_beta 73.30
_cell_angle_gamma 60.00
_space_group_name_H-M_alt 'P 1'
_space_group_IT_number 1
_space_group_name_Hall 'P 1'
loop_
_atom_site_label
_atom_site_type_symbol
_atom_site_fract_x
_atom_site_fract_y
_atom_site_fract_z
Sb1 Sb 0.000 0.000 0.000
Te1 Te 0.500 0.500 0.500
Pm1 Pm 0.747 0.747 0.760
Pm2 Pm 0.253 0.253 0.240
```

DFT (PBE-GGA) results for a geometry-optimized LiHf2ZrSi structure.

## Properties
Density ... 8535 kg/m3

Geometry as CIF:
```
data_LiHf2ZrSi
_cell_length_a 4.703
_cell_length_b 4.250
_cell_length_c 4.703
_cell_angle_alpha 90.00
_cell_angle_beta 90.00
_cell_angle_gamma 90.00
_space_group_name_H-M_alt 'P 1'
_space_group_IT_number 1
_space_group_name_Hall 'P 1'
loop_
_atom_site_label
_atom_site_type_symbol
_atom_site_fract_x
_atom_site_fract_y
_atom_site_fract_z
Si1 Si 0.000 0.500 0.000
Hf1 Hf 0.000 0.000 0.500
Hf2 Hf 0.500 0.000 0.000
Zr1 Zr 0.500 0.500 0.500
Li1 Li 0.000 0.000 0.000
```

DFT (PBE-GGA) results for a geometry-optimized LaMg2 structure.

## Properties
E_form ... -29 meV per atom
Density ... 3643 kg/m3

Geometry as CIF:
```
data_LaMg2
_cell_length_a 9.091
_cell_length_b 9.091
_cell_length_c 5.671
_cell_angle_alpha 90.00
_cell_angle_beta 90.00
_cell_angle_gamma 158.60
_space_group_name_H-M_alt 'P 1'
_space_group_IT_number 1
_space_group_name_Hall 'P 1'
loop_
_atom_site_label
_atom_site_type_symbol
_atom_site_fract_x
_atom_site_fract_y
_atom_site_fract_z
La1 La 0.664 0.336 0.000
La2 La 0.447 0.553 0.500
Mg1 Mg 0.998 0.002 0.000
Mg2 Mg 0.337 0.663 0.000
Mg3 Mg 0.774 0.226 0.500
Mg4 Mg 0.113 0.887 0.500
```

DFT (PBE-GGA) results for a geometry-optimized BaMg3Ga3 structure.

## Properties
E_form ... -110 meV per atom
ΔE to the lowest computed polymorph ... 0.0 meV/atom
Density ... 3999 kg/m3

Geometry as CIF:
```
data_BaMg3Ga3
_cell_length_a 4.886
_cell_length_b 9.070
_cell_length_c 9.079
_cell_angle_alpha 120.02
_cell_angle_beta 90.00
_cell_angle_gamma 90.00
_space_group_name_H-M_alt 'P 1'
_space_group_IT_number 1
_space_group_name_Hall 'P 1'
loop_
_atom_site_label
_atom_site_type_symbol
_atom_site_fract_x
_atom_site_fract_y
_atom_site_fract_z
Ba1 Ba 0.750 0.334 0.667
Ba2 Ba 0.250 0.666 0.333
Mg1 Mg 0.750 0.776 0.026
Mg2 Mg 0.750 0.250 0.224
Mg3 Mg 0.750 0.974 0.750
Mg4 Mg 0.250 0.224 0.974
Mg5 Mg 0.250 0.750 0.776
Mg6 Mg 0.250 0.026 0.250
Ga1 Ga 0.750 0.930 0.385
Ga2 Ga 0.750 0.454 0.070
Ga3 Ga 0.750 0.615 0.545
Ga4 Ga 0.250 0.070 0.615
Ga5 Ga 0.250 0.546 0.930
Ga6 Ga 0.250 0.385 0.455
```

DFT (PBE-GGA) results for a geometry-optimized NaZnTe structure.

## Properties
ΔE to the lowest computed polymorph ... 180.7 meV/atom
Density ... 4432 kg/m3

Geometry as CIF:
```
data_NaZnTe
_cell_length_a 4.384
_cell_length_b 5.186
_cell_length_c 7.856
_cell_angle_alpha 90.00
_cell_angle_beta 90.00
_cell_angle_gamma 115.01
_space_group_name_H-M_alt 'P 1'
_space_group_IT_number 1
_space_group_name_Hall 'P 1'
loop_
_atom_site_label
_atom_site_type_symbol
_atom_site_fract_x
_atom_site_fract_y
_atom_site_fract_z
Na1 Na 0.000 0.000 0.000
Na2 Na 0.000 0.000 0.500
Zn1 Zn 0.658 0.317 0.250
Zn2 Zn 0.342 0.683 0.750
Te1 Te 0.346 0.692 0.250
Te2 Te 0.654 0.308 0.750
```

DFT (PBE-GGA) results for a geometry-optimized K2CrBi2 structure.

## Properties
E_form ... 440 meV per atom
ΔE to the lowest computed polymorph ... 456.9 meV/atom
Density ... 4251 kg/m3

Geometry as CIF:
```
data_K2CrBi2
_cell_length_a 4.533
_cell_length_b 4.533
_cell_length_c 10.902
_cell_angle_alpha 78.00
_cell_angle_beta 78.00
_cell_angle_gamma 90.00
_space_group_name_H-M_alt 'P 1'
_space_group_IT_number 1
_space_group_name_Hall 'P 1'
loop_
_atom_site_label
_atom_site_type_symbol
_atom_site_fract_x
_atom_site_fract_y
_atom_site_fract_z
Cr1 Cr 0.000 0.000 0.000
K1 K 0.395 0.395 0.210
K2 K 0.605 0.605 0.790
Bi1 Bi 0.750 0.250 0.500
Bi2 Bi 0.250 0.750 0.500
```

DFT (PBE-GGA) results for a geometry-optimized Nd4Cr structure.

## Properties
E_form ... 430 meV per atom
Density ... 6443 kg/m3

Geometry as CIF:
```
data_Nd4Cr
_cell_length_a 5.453
_cell_length_b 5.453
_cell_length_c 5.453
_cell_angle_alpha 90.00
_cell_angle_beta 90.00
_cell_angle_gamma 90.00
_space_group_name_H-M_alt 'P 1'
_space_group_IT_number 1
_space_group_name_Hall 'P 1'
loop_
_atom_site_label
_atom_site_type_symbol
_atom_site_fract_x
_atom_site_fract_y
_atom_site_fract_z
Cr1 Cr 0.500 0.500 0.500
Nd1 Nd 0.000 0.000 0.000
Nd2 Nd 0.500 0.000 0.500
Nd3 Nd 0.000 0.500 0.500
Nd4 Nd 0.500 0.500 0.000
```

DFT (PBE-GGA) results for a geometry-optimized P3Pb structure.

## Properties
E_form ... 404 meV per atom
Density ... 6213 kg/m3

Geometry as CIF:
```
data_P3Pb
_cell_length_a 5.493
_cell_length_b 5.493
_cell_length_c 5.493
_cell_angle_alpha 145.57
_cell_angle_beta 119.48
_cell_angle_gamma 71.52
_space_group_name_H-M_alt 'P 1'
_space_group_IT_number 1
_space_group_name_Hall 'P 1'
loop_
_atom_site_label
_atom_site_type_symbol
_atom_site_fract_x
_atom_site_fract_y
_atom_site_fract_z
P1 P 0.019 0.936 0.083
P2 P 0.647 0.564 0.083
P3 P 0.833 0.250 0.583
Pb1 Pb 0.334 0.750 0.584
```

DFT (PBE-GGA) results for a geometry-optimized MoOs2Rh structure.

## Properties
E_form ... 76 meV per atom
ΔE to the lowest computed polymorph ... 124.9 meV/atom
Density ... 16393 kg/m3

Geometry as CIF:
```
data_MoOs2Rh
_cell_length_a 9.147
_cell_length_b 9.147
_cell_length_c 9.147
_cell_angle_alpha 17.24
_cell_angle_beta 17.24
_cell_angle_gamma 17.24
_space_group_name_H-M_alt 'P 1'
_space_group_IT_number 1
_space_group_name_Hall 'P 1'
loop_
_atom_site_label
_atom_site_type_symbol
_atom_site_fract_x
_atom_site_fract_y
_atom_site_fract_z
Mo1 Mo 0.751 0.751 0.751
Os1 Os 0.998 0.998 0.998
Os2 Os 0.251 0.251 0.251
Rh1 Rh 0.500 0.500 0.500
```

DFT (PBE-GGA) results for a geometry-optimized BaSn4Bi2 structure.

## Properties
E_form ... -22 meV per atom
ΔE to the lowest computed polymorph ... 180.9 meV/atom
Density ... 5722 kg/m3

Geometry as CIF:
```
data_BaSn4Bi2
_cell_length_a 7.475
_cell_length_b 7.475
_cell_length_c 7.475
_cell_angle_alpha 101.55
_cell_angle_beta 101.55
_cell_angle_gamma 126.84
_space_group_name_H-M_alt 'P 1'
_space_group_IT_number 1
_space_group_name_Hall 'P 1'
loop_
_atom_site_label
_atom_site_type_symbol
_atom_site_fract_x
_atom_site_fract_y
_atom_site_fract_z
Ba1 Ba 0.000 0.000 0.000
Sn1 Sn 0.718 0.500 0.218
Sn2 Sn 0.500 0.718 0.218
Sn3 Sn 0.500 0.282 0.782
Sn4 Sn 0.282 0.500 0.782
Bi1 Bi 0.250 0.750 0.500
Bi2 Bi 0.750 0.250 0.500
```

DFT (PBE-GGA) results for a geometry-optimized ScInRe structure.

## Properties
E_form ... 969 meV per atom
ΔE to the lowest computed polymorph ... 922.4 meV/atom
Density ... 8474 kg/m3

Geometry as CIF:
```
data_ScInRe
_cell_length_a 4.577
_cell_length_b 4.577
_cell_length_c 4.577
_cell_angle_alpha 60.00
_cell_angle_beta 60.00
_cell_angle_gamma 60.00
_space_group_name_H-M_alt 'P 1'
_space_group_IT_number 1
_space_group_name_Hall 'P 1'
loop_
_atom_site_label
_atom_site_type_symbol
_atom_site_fract_x
_atom_site_fract_y
_atom_site_fract_z
In1 In 0.000 0.000 0.000
Re1 Re 0.500 0.500 0.500
Sc1 Sc 0.250 0.250 0.250
```

Results for E_tot: -71.62, -25.96, -14.74, -67.88, -107.10, -43.28, -93.92, -71.24, -42.83, -22.13, -33.55, -16.41, -33.11, -13.60, -17.38, -26.54, -18.32, -40.34, -25.85, -18.61 (in eV/cell, following the order of the records).